Entry 1:
Below is Dy4Te5S after structural relaxation, with properties calculated at the PBE level.

abc: 4.244 8.567 9.555
angles: 102.80 102.83 90.00
Positions (direct):
Te: 0.500 0.500 0.000
Te: 0.835 0.173 0.669
Te: 0.164 0.335 0.328
Te: 0.165 0.827 0.331
Te: 0.836 0.665 0.672
Dy: 0.335 0.912 0.670
Dy: 0.665 0.088 0.330
Dy: 0.001 0.244 0.003
Dy: 0.999 0.756 0.997
S: 0.500 0.000 0.000

* energy: -52.4 eV/cell
* density of states at the Fermi level: 0.17 states/eV/atom
* energy relative to the elements, uncorrected: -1.41 eV per atom
* total magnetic moment: 0.0000 μB per atom
* calculated volume: 32.99 Å³/atom

Entry 2:
Below is Dy3TeS3 after structural relaxation, with properties calculated at the PBE level.

abc: 7.895 7.895 8.455
angles: 62.17 62.17 60.00
Positions (direct):
Dy: 0.109 0.710 0.704
Dy: 0.891 0.290 0.296
Dy: 0.523 0.891 0.296
Dy: 0.290 0.523 0.296
Dy: 0.477 0.109 0.704
Dy: 0.710 0.477 0.704
Te: 0.670 0.670 0.989
Te: 0.330 0.330 0.011
S: 0.111 0.381 0.670
S: 0.162 0.889 0.330
S: 0.889 0.619 0.330
S: 0.838 0.111 0.670
S: 0.619 0.162 0.330
S: 0.381 0.838 0.670

* energy: -83.8 eV/cell
* density of states at the Fermi level: 0.26 states/eV/atom
* energy relative to the elements, uncorrected: -1.80 eV per atom
* total magnetic moment: 0.0000 μB per atom
* calculated volume: 27.46 Å³/atom